Compound: In3Tc
Source: the Alexandria database
Functional: GGA-PBE
Structure: relaxed

abc: 4.320 4.320 4.320
angles: 90.00 90.00 90.00
Last column: magnetic moment on the atom in μB.
Fractional positions:
In  0.000  0.500  0.500  -0.01
In  0.500  0.500  0.000  -0.01
In  0.500  0.000  0.500  -0.01
Tc  0.000  0.000  0.000  0.90

Computed properties:
mass density	9.1	Mg/m³


Compound: In2Tc
Source: the Alexandria database
Functional: GGA-PBE
Structure: relaxed

abc: 5.325 5.325 8.773
angles: 67.19 67.19 33.48
Fractional positions:
Tc  0.290  0.290  0.598
Tc  0.710  0.710  0.402
In  0.346  0.346  0.106
In  0.994  0.994  0.678
In  0.654  0.654  0.894
In  0.006  0.006  0.322

Computed properties:
mass density	8.7	Mg/m³


Compound: InTc3
Source: the Alexandria database
Functional: GGA-PBE
Structure: relaxed

abc: 5.336 5.336 5.336
angles: 147.64 127.75 62.81
Fractional positions:
Tc  0.872  0.235  0.637
Tc  0.401  0.765  0.637
Tc  0.526  0.500  0.026
In  0.034  0.000  0.034

Computed properties:
mass density	10.7	Mg/m³


Compound: In3Tc
Source: the Alexandria database
Functional: GGA-PBE
Structure: relaxed

abc: 4.905 4.905 4.905
angles: 60.00 60.00 60.00
Fractional positions:
In  0.500  0.500  0.500
In  0.250  0.250  0.250
In  0.000  0.000  0.000
Tc  0.750  0.750  0.750

Computed properties:
mass density	8.8	Mg/m³


| no. | ΔH_f (0 K) (kJ per mole of atoms) |
| --- | --- |
| 1 | 43 |
| 2 | 21 |
| 3 | 26 |
| 4 | 56 |